# CdH2Br, relaxed, DFT PBE
data_CdH2Br
_chemical_formula_sum 'Cd1 H2 Br1'
_symmetry_space_group_name_H-M 'P 1'
_symmetry_Int_Tables_number 1
_symmetry_space_group_name_Hall 'P 1'
_cell_length_a 2.822
_cell_length_b 5.708
_cell_length_c 5.838
_cell_angle_alpha 61.55
_cell_angle_beta 89.92
_cell_angle_gamma 89.84
loop_
_atom_site_label
_atom_site_fract_x
_atom_site_fract_y
_atom_site_fract_z
_atom_site_occupancy
Cd1 0.000 0.000 0.000 1
H1 0.494 0.729 0.664 1
H2 0.509 0.613 0.635 1
Br1 0.000 0.334 0.332 1
# calculated total energy	-2.3790	eV per atom
# crystal system	triclinic
# calculated volume	20.67	A^3/atom
# N(E_F)	0.838	states/eV/cell

---

# LiLa2Al4Zn3, relaxed, DFT PBE
data_LiLa2Al4Zn3
_chemical_formula_sum 'Li1 La2 Al4 Zn3'
_symmetry_space_group_name_H-M 'P -4 m 2'
_symmetry_Int_Tables_number 115
_symmetry_space_group_name_Hall 'P -4 -2'
_cell_length_a 4.351
_cell_length_b 4.351
_cell_length_c 10.807
_cell_angle_alpha 90.00
_cell_angle_beta 90.00
_cell_angle_gamma 90.00
loop_
_atom_site_label
_atom_site_fract_x
_atom_site_fract_y
_atom_site_fract_z
_atom_site_occupancy
Li1 0.000 0.000 0.000 1
La1 0.000 0.500 0.748 1
Al1 0.000 0.000 0.500 1
Al2 0.000 0.500 0.130 1
Al3 0.500 0.500 0.500 1
Zn1 0.000 0.500 0.364 1
Zn2 0.500 0.500 0.000 1
# energy relative to the elements	-375.6	meV per atom
# calculated total energy	-3.4317	eV per atom
# crystal system	tetragonal
# calculated volume	20.46	A^3/atom
# N(E_F)	4.745	states/eV/cell

---

# SrTc3O12, relaxed, DFT PBE
data_SrTc3O12
_chemical_formula_sum 'Sr6 Tc18 O72'
_symmetry_space_group_name_H-M 'R 3 c'
_symmetry_Int_Tables_number 161
_symmetry_space_group_name_Hall 'R 3 -2"c'
_cell_length_a 8.9398
_cell_length_b 8.9398
_cell_length_c 29.4303
_cell_angle_alpha 90.00
_cell_angle_beta 90.00
_cell_angle_gamma 120.00
loop_
_atom_site_label
_atom_site_fract_x
_atom_site_fract_y
_atom_site_fract_z
_atom_site_occupancy
Sr1 0.0000 0.0000 0.0000 1
Tc1 0.0187 0.3375 0.0630 1
O1 0.1331 0.3535 0.0137 1
O2 0.1601 0.4349 0.1088 1
O3 0.2061 0.4370 0.3882 1
O4 0.2166 0.4349 0.2381 1
# calculated total energy	-7.2362	eV per atom
# crystal system	trigonal
# calculated volume	21.22	A^3/atom
# N(E_F)	94.566	states/eV/cell
# raw formation energy	-1.469	eV per atom

---

# Sm2HoNi2, relaxed, DFT PBE
data_Sm2HoNi2
_chemical_formula_sum 'Sm4 Ho2 Ni4'
_symmetry_space_group_name_H-M 'P 4/m b m'
_symmetry_Int_Tables_number 127
_symmetry_space_group_name_Hall '-P 4 2ab'
_cell_length_a 7.619
_cell_length_b 7.619
_cell_length_c 3.902
_cell_angle_alpha 90.00
_cell_angle_beta 90.00
_cell_angle_gamma 90.00
loop_
_atom_site_label
_atom_site_fract_x
_atom_site_fract_y
_atom_site_fract_z
_atom_site_occupancy
Sm1 0.167 0.333 0.000 1
Ho1 0.000 0.000 0.500 1
Ni1 0.122 0.622 0.500 1
# energy relative to the elements	-278.5	meV per atom
# calculated total energy	-5.3942	eV per atom
# crystal system	tetragonal
# calculated volume	22.65	A^3/atom
# N(E_F)	8.919	states/eV/cell

---

# Fe2CuW, relaxed, DFT PBE
data_Fe2CuW
_chemical_formula_sum 'Fe4 Cu2 W2'
_symmetry_space_group_name_H-M 'C 1 m 1'
_symmetry_Int_Tables_number 8
_symmetry_space_group_name_Hall 'C -2y'
_cell_length_a 8.820
_cell_length_b 2.781
_cell_length_c 4.324
_cell_angle_alpha 90.00
_cell_angle_beta 106.43
_cell_angle_gamma 90.00
loop_
_atom_site_label
_atom_site_fract_x
_atom_site_fract_y
_atom_site_fract_z
_atom_site_occupancy
Fe1 0.000 0.000 0.000 1
Fe2 0.230 0.500 0.257 1
Cu1 0.250 0.000 0.778 1
W1 0.485 0.000 0.492 1
# energy relative to the elements	236.4	meV per atom
# calculated total energy	-8.2572	eV per atom
# crystal system	monoclinic
# calculated volume	12.72	A^3/atom
# N(E_F)	6.149	states/eV/cell

---

Among the records above, which one has the highest N(E_F)? SrTc3O12

---

Look up the calculated total energy of the first one. -2.3790 eV per atom

---

Which of these has the highest calculated volume? Sm2HoNi2